1.
NaPH5C2SN3O4 | PBE | optimized geometry

Computed properties:
Final energy in eV/atom: -6.22
ρ in Mg/m³: 1.78

Cell and atoms, written as CIF:
```
data_NaPH5C2SN3O4
_space_group_name_H-M_alt 'P -1'
_space_group_IT_number 2
_cell_length_a 5.8869
_cell_length_b 6.8735
_cell_length_c 10.6259
_cell_angle_alpha 94.10
_cell_angle_beta 96.64
_cell_angle_gamma 103.80
loop_
_space_group_symop_operation_xyz
'x,y,z'
'-x,-y,-z'
loop_
_atom_site_label
_atom_site_type_symbol
_atom_site_fract_x
_atom_site_fract_y
_atom_site_fract_z
Na1 Na 0.0367 0.1456 0.2173
P1 P 0.4946 0.2658 0.7817
H1 H 0.0541 0.3552 0.4813
H2 H 0.3473 0.1584 0.0082
H3 H 0.4315 0.9234 0.3980
H4 H 0.4509 0.5977 0.8240
H5 H 0.4663 0.0712 0.1227
C1 C 0.2280 0.4893 0.6591
C2 C 0.3058 0.2031 0.5302
S1 S 0.1813 0.6467 0.1351
N1 N 0.1782 0.3423 0.5567
N2 N 0.3808 0.4688 0.7596
N3 N 0.4715 0.1802 0.6237
O1 O 0.1365 0.6364 0.6540
O2 O 0.2664 0.1080 0.4210
O3 O 0.3254 0.1047 0.8416
O4 O 0.3716 0.1689 0.1031
```

***

2.
PuHfMg | PBE | optimized geometry

Computed properties:
Final energy in eV/atom: -8.54
Energy relative to the lowest polymorph listed for this composition in meV per atom: 0
ΔE_f in kJ/mol of formula units: 26
ρ in Mg/m³: 10.35

Cell and atoms, written as CIF:
```
data_PuHfMg
_space_group_name_H-M_alt 'P 4/n m m'
_space_group_IT_number 129
_cell_length_a 3.1422
_cell_length_b 3.1422
_cell_length_c 14.5261
_cell_angle_alpha 90.00
_cell_angle_beta 90.00
_cell_angle_gamma 90.00
loop_
_space_group_symop_operation_xyz
'x,y,z'
'-x,-y,-z'
'-y+1/2,x,z'
'y+1/2,-x,-z'
'-x+1/2,-y+1/2,z'
'x+1/2,y+1/2,-z'
'y,-x+1/2,z'
'-y,x+1/2,-z'
'x+1/2,-y,-z'
'-x+1/2,y,z'
'-y,-x,-z'
'y,x,z'
'-x,y+1/2,-z'
'x,-y+1/2,z'
'y+1/2,x+1/2,-z'
'-y+1/2,-x+1/2,z'
loop_
_atom_site_label
_atom_site_type_symbol
_atom_site_fract_x
_atom_site_fract_y
_atom_site_fract_z
Pu1 Pu 0.2500 0.2500 0.2461
Hf1 Hf 0.2500 0.2500 0.9258
Mg1 Mg 0.2500 0.2500 0.5790
```

***

3.
ZnFe2As2 | PBE | optimized geometry

Computed properties:
Final energy in eV/atom: -5.42
Energy relative to the lowest polymorph listed for this composition in meV per atom: 0
ΔE_f in kJ/mol of formula units: 41
ρ in Mg/m³: 7.59

Cell and atoms, written as CIF:
```
data_ZnFe2As2
_space_group_name_H-M_alt 'P 4/m b m'
_space_group_IT_number 127
_space_group_name_Hall '-P 4 2ab'
_cell_length_a 6.7666
_cell_length_b 6.7666
_cell_length_c 3.1232
_cell_angle_alpha 90.00
_cell_angle_beta 90.00
_cell_angle_gamma 90.00
loop_
_atom_site_label
_atom_site_type_symbol
_atom_site_fract_x
_atom_site_fract_y
_atom_site_fract_z
Zn1 Zn 0.0000 0.0000 0.0000
Fe1 Fe 0.1383 0.3617 0.0000
As1 As 0.1569 0.6569 0.5000
```

***

4.
Ac2CuSn3Pt4 | PBE | optimized geometry

Computed properties:
Final energy in eV/atom: -5.66
ΔE_f in kJ/mol of formula units: -784
ρ in Mg/m³: 11.90

Cell and atoms, written as CIF:
```
data_Ac2CuSn3Pt4
_space_group_name_H-M_alt 'P -4 m 2'
_space_group_IT_number 115
_cell_length_a 4.6503
_cell_length_b 4.6503
_cell_length_c 10.6713
_cell_angle_alpha 90.00
_cell_angle_beta 90.00
_cell_angle_gamma 90.00
loop_
_space_group_symop_operation_xyz
'x,y,z'
'y,-x,-z'
'-x,-y,z'
'-y,x,-z'
'-x,y,z'
'-y,-x,-z'
'x,-y,z'
'y,x,-z'
loop_
_atom_site_label
_atom_site_type_symbol
_atom_site_fract_x
_atom_site_fract_y
_atom_site_fract_z
Ac1 Ac 0.0000 0.5000 0.2415
Cu1 Cu 0.5000 0.5000 0.0000
Sn1 Sn 0.0000 0.0000 0.0000
Sn2 Sn 0.0000 0.5000 0.6276
Pt1 Pt 0.0000 0.0000 0.5000
Pt2 Pt 0.0000 0.5000 0.8753
Pt3 Pt 0.5000 0.5000 0.5000
```